1.
Material: Na2AcOsO8
Method: DFT, PBE
State: relaxed

The structure in POSCAR format:
```
Na2AcOsO8
1.0
-1.947 -4.944 -1.059
3.264 2.447 -3.565
5.261 -2.706 2.959
Na Ac Os O
2 1 1 8
Direct
0.667 0.333 0.096 Na
0.333 0.667 0.904 Na
0.000 0.000 0.500 Ac
0.000 0.000 0.000 Os
0.841 0.682 0.829 O
0.318 0.159 0.829 O
0.841 0.159 0.829 O
0.159 0.318 0.171 O
0.682 0.841 0.171 O
0.159 0.841 0.171 O
0.667 0.333 0.460 O
0.333 0.667 0.540 O
```

Raw formation energy ... -1.124 eV per atom
Total moment ... 3.019 μB per formula unit
SG ... P-3m1
Uncorrected energy ... -5.93 eV per atom


2.
Material: V2Ge4Ru
Method: DFT, PBE
State: relaxed

The structure in POSCAR format:
```
V2Ge4Ru
1.0
-4.065 2.307 -0.618
-0.681 0.049 4.665
0.616 6.545 2.403
Ru Ge V
1 4 2
Direct
0.000 0.000 0.000 Ru
0.203 0.203 0.594 Ge
0.797 0.797 0.406 Ge
0.000 0.500 0.000 Ge
0.500 0.000 0.000 Ge
0.409 0.409 0.183 V
0.591 0.591 0.817 V
```

DFT formation energy ... 43 kJ per mole of atoms
Relative energy among the computed polymorphs ... 0.526 eV/atom
Total moment ... 0.000 μB per formula unit
SG ... I4/mmm
Uncorrected energy ... -6.12 eV per atom


3.
Material: YHg2Cl
Method: DFT, PBE
State: relaxed

The structure in POSCAR format:
```
YHg2Cl
1.0
3.599 0.000 0.000
0.000 3.599 0.000
0.000 0.000 7.817
Cl Hg Y
1 2 1
Direct
0.500 0.500 0.688 Cl
0.000 0.000 0.014 Hg
0.500 0.500 0.268 Hg
0.000 0.000 0.529 Y
```

Raw formation energy ... -0.708 eV per atom
Relative energy among the computed polymorphs ... 0.002 eV/atom
Total moment ... 0.000 μB per formula unit
SG ... P4mm
Uncorrected energy ... -2.94 eV per atom


4.
Material: LiNb2P2O10
Method: DFT, PBE
State: relaxed

The structure in POSCAR format:
```
LiNb2P2O10
1.0
6.453 0.000 0.000
0.000 5.037 -0.051
0.000 0.281 6.548
Li Nb P O
1 2 2 10
Direct
0.000 0.915 0.920 Li
0.500 0.762 0.750 Nb
0.000 0.231 0.261 Nb
0.500 0.508 0.256 P
0.000 0.477 0.752 P
0.695 0.331 0.256 O
0.305 0.331 0.256 O
0.000 0.882 0.230 O
0.500 0.109 0.744 O
0.000 0.289 0.943 O
0.000 0.301 0.568 O
0.500 0.678 0.447 O
0.186 0.670 0.762 O
0.814 0.670 0.762 O
0.500 0.689 0.061 O
```

Raw formation energy ... -2.304 eV per atom
Relative energy among the computed polymorphs ... 0.022 eV/atom
Total moment ... 1.000 μB per formula unit
SG ... Pm
Uncorrected energy ... -7.80 eV per atom


5.
Material: SrSi4Hg
Method: DFT, PBE
State: relaxed

The structure in POSCAR format:
```
SrSi4Hg
1.0
0.000 3.883 3.883
3.883 0.000 3.883
3.883 3.883 0.000
Sr Si Hg
1 4 1
Direct
0.750 0.750 0.750 Sr
0.874 0.375 0.375 Si
0.375 0.375 0.874 Si
0.375 0.874 0.375 Si
0.375 0.375 0.375 Si
0.000 0.000 0.000 Hg
```

Raw formation energy ... 0.111 eV per atom
Total moment ... 0.000 μB per formula unit
SG ... F-43m
Uncorrected energy ... -3.84 eV per atom


6.
Material: BaCaGd2
Method: DFT, PBE
State: relaxed

The structure in POSCAR format:
```
BaCaGd2
1.0
-0.871 1.174 3.407
-3.543 0.071 1.087
-0.316 -12.011 6.076
Ca Gd Ba
1 2 1
Direct
0.500 0.500 0.500 Ca
0.090 0.090 0.731 Gd
0.910 0.910 0.269 Gd
0.000 0.000 0.000 Ba
```

DFT formation energy ... 27 kJ per mole of atoms
Total moment ... 15.649 μB per formula unit
SG ... R-3m
Uncorrected energy ... -7.75 eV per atom


7.
Material: ErMg6Sc2
Method: DFT, PBE
State: relaxed

The structure in POSCAR format:
```
ErMg6Sc2
1.0
-2.866 1.332 -0.304
-2.982 -7.332 -4.017
-0.576 0.773 8.823
Er Mg Sc
1 6 2
Direct
0.000 0.000 0.000 Er
0.500 0.337 0.337 Mg
0.500 0.663 0.663 Mg
0.500 0.000 0.663 Mg
0.500 0.663 0.000 Mg
0.500 0.337 0.000 Mg
0.500 0.000 0.337 Mg
0.000 0.333 0.667 Sc
0.000 0.667 0.333 Sc
```

DFT formation energy ... -3 kJ per mole of atoms
Relative energy among the computed polymorphs ... 0.000 eV/atom
Total moment ... 0.000 μB per formula unit
SG ... P6/mmm
Uncorrected energy ... -3.00 eV per atom


8.
Material: K2BaTc
Method: DFT, PBE
State: relaxed

The structure in POSCAR format:
```
K2BaTc
1.0
-1.736 3.841 2.302
-4.135 0.138 -3.350
-7.547 -3.838 0.712
Ba K Tc
1 2 1
Direct
0.000 0.000 0.500 Ba
0.000 0.000 0.000 K
0.500 0.500 0.000 K
0.500 0.500 0.500 Tc
```

DFT formation energy ... 100 kJ per mole of atoms
Relative energy among the computed polymorphs ... 0.165 eV/atom
Total moment ... 2.988 μB per formula unit
SG ... P2/m
Uncorrected energy ... -2.58 eV per atom


9.
Material: NdZrRh4
Method: DFT, PBE
State: relaxed

The structure in POSCAR format:
```
NdZrRh4
1.0
5.322 0.000 0.000
2.661 4.609 0.000
2.661 1.536 4.345
Rh Nd Zr
4 1 1
Direct
0.625 0.625 0.126 Rh
0.625 0.126 0.625 Rh
0.625 0.625 0.625 Rh
0.126 0.625 0.625 Rh
0.000 0.000 0.000 Nd
0.250 0.250 0.250 Zr
```

DFT formation energy ... -56 kJ per mole of atoms
Total moment ... 0.000 μB per formula unit
SG ... F-43m
Uncorrected energy ... -7.70 eV per atom


10.
Material: DyHoAu
Method: DFT, PBE
State: relaxed

The structure in POSCAR format:
```
DyHoAu
1.0
-2.174 -2.198 -1.819
-0.458 -1.989 2.950
-3.498 5.547 1.015
Au Ho Dy
1 1 1
Direct
0.949 0.949 0.897 Au
0.306 0.306 0.611 Ho
0.596 0.596 0.191 Dy
```

DFT formation energy ... -52 kJ per mole of atoms
Relative energy among the computed polymorphs ... 0.102 eV/atom
Total moment ... 0.862 μB per formula unit
SG ... I4mm
Uncorrected energy ... -4.69 eV per atom


11.
Material: Nd9Al5S21
Method: DFT, PBE
State: relaxed

The structure in POSCAR format:
```
Nd9Al5S21
1.0
-10.130 -2.151 -5.484
6.687 -4.652 -8.423
-0.313 -9.743 6.503
Nd Al S
18 10 42
Direct
0.119 0.885 0.260 Nd
0.775 0.544 0.927 Nd
0.448 0.233 0.602 Nd
0.233 0.602 0.448 Nd
0.885 0.260 0.119 Nd
0.544 0.927 0.775 Nd
0.927 0.775 0.544 Nd
0.602 0.448 0.233 Nd
0.260 0.119 0.885 Nd
0.566 0.793 0.416 Nd
0.222 0.450 0.069 Nd
0.899 0.124 0.754 Nd
0.450 0.069 0.222 Nd
0.124 0.754 0.899 Nd
0.793 0.416 0.566 Nd
0.754 0.899 0.124 Nd
0.416 0.566 0.793 Nd
0.069 0.222 0.450 Nd
0.611 0.279 0.953 Al
0.279 0.953 0.611 Al
0.953 0.611 0.279 Al
0.774 0.117 0.452 Al
0.452 0.774 0.117 Al
0.117 0.452 0.774 Al
0.143 0.143 0.143 Al
0.827 0.827 0.827 Al
0.325 0.325 0.325 Al
0.645 0.645 0.645 Al
0.492 0.160 0.829 S
0.160 0.829 0.492 S
0.829 0.492 0.160 S
0.994 0.327 0.660 S
0.660 0.994 0.327 S
0.327 0.660 0.994 S
0.552 0.456 0.990 S
0.216 0.128 0.643 S
0.894 0.791 0.305 S
0.791 0.305 0.894 S
0.456 0.990 0.552 S
0.128 0.643 0.216 S
0.643 0.216 0.128 S
0.305 0.894 0.791 S
0.990 0.552 0.456 S
0.930 0.035 0.521 S
0.612 0.701 0.187 S
0.277 0.370 0.838 S
0.701 0.187 0.612 S
0.370 0.838 0.277 S
0.035 0.521 0.930 S
0.838 0.277 0.370 S
0.521 0.930 0.035 S
0.187 0.612 0.701 S
0.595 0.450 0.691 S
0.241 0.110 0.332 S
0.903 0.764 0.999 S
0.764 0.999 0.903 S
0.450 0.691 0.595 S
0.110 0.332 0.241 S
0.332 0.241 0.110 S
0.999 0.903 0.764 S
0.691 0.595 0.450 S
0.716 0.848 0.627 S
0.377 0.510 0.275 S
0.058 0.206 0.965 S
0.510 0.275 0.377 S
0.206 0.965 0.058 S
0.848 0.627 0.716 S
0.965 0.058 0.206 S
0.627 0.716 0.848 S
0.275 0.377 0.510 S
```

Raw formation energy ... -1.737 eV per atom
Total moment ... 0.000 μB per formula unit
SG ... R3
Uncorrected energy ... -5.97 eV per atom


12.
Material: BaCa2CuO4
Method: DFT, PBE
State: relaxed

The structure in POSCAR format:
```
BaCa2CuO4
1.0
3.504 0.000 0.000
-1.752 5.872 0.000
0.000 0.000 11.824
Ba Ca Cu O
2 4 2 8
Direct
0.110 0.219 0.750 Ba
0.890 0.781 0.250 Ba
0.370 0.740 0.546 Ca
0.630 0.260 0.046 Ca
0.630 0.260 0.454 Ca
0.370 0.740 0.954 Ca
0.840 0.681 0.750 Cu
0.160 0.319 0.250 Cu
0.262 0.524 0.117 O
0.738 0.476 0.617 O
0.738 0.476 0.883 O
0.262 0.524 0.383 O
0.000 0.000 0.500 O
0.000 0.000 0.000 O
0.420 0.840 0.750 O
0.580 0.160 0.250 O
```

Raw formation energy ... -2.198 eV per atom
Total moment ... 1.029 μB per formula unit
SG ... Cmcm
Uncorrected energy ... -5.93 eV per atom


13.
Material: PrNd3Ag
Method: DFT, PBE
State: relaxed

The structure in POSCAR format:
```
PrNd3Ag
1.0
-0.237 -2.578 -4.505
4.632 4.440 0.211
5.597 -7.873 4.211
Pr Nd Ag
2 6 2
Direct
0.657 0.314 0.553 Pr
0.343 0.686 0.447 Pr
0.029 0.058 0.332 Nd
0.971 0.942 0.668 Nd
0.400 0.800 0.109 Nd
0.600 0.200 0.891 Nd
0.278 0.556 0.776 Nd
0.722 0.444 0.224 Nd
0.881 0.762 0.938 Ag
0.119 0.238 0.062 Ag
```

DFT formation energy ... -6 kJ per mole of atoms
Relative energy among the computed polymorphs ... 0.000 eV/atom
Total moment ... 0.000 μB per formula unit
SG ... C2/m
Uncorrected energy ... -4.45 eV per atom


14.
Material: ThTcPO
Method: DFT, PBE
State: relaxed

The structure in POSCAR format:
```
ThTcPO
1.0
4.093 0.000 0.000
0.000 4.093 0.000
0.000 0.000 7.933
Th Tc P O
2 2 2 2
Direct
0.000 0.500 0.838 Th
0.500 0.000 0.162 Th
0.000 0.000 0.500 Tc
0.500 0.500 0.500 Tc
0.500 0.000 0.651 P
0.000 0.500 0.349 P
0.500 0.500 0.000 O
0.000 0.000 0.000 O
```

Raw formation energy ... -2.022 eV per atom
Total moment ... 0.000 μB per formula unit
SG ... P4/nmm
Uncorrected energy ... -9.06 eV per atom


15.
Material: Li2VN2
Method: DFT, PBE
State: relaxed

The structure in POSCAR format:
```
Li2VN2
1.0
2.996 0.000 0.000
-1.498 2.594 0.000
0.000 0.000 5.493
N Li V
2 2 1
Direct
0.333 0.667 0.210 N
0.667 0.333 0.790 N
0.333 0.667 0.637 Li
0.667 0.333 0.363 Li
0.000 0.000 0.000 V
```

Raw formation energy ... -0.722 eV per atom
Total moment ... 0.836 μB per formula unit
SG ... P-3m1
Uncorrected energy ... -6.64 eV per atom


16.
Material: ZrCdAs2Br
Method: DFT, PBE
State: relaxed

The structure in POSCAR format:
```
ZrCdAs2Br
1.0
5.261 0.000 0.000
0.000 5.261 0.000
0.000 0.000 5.324
As Br Zr Cd
2 1 1 1
Direct
0.000 0.500 0.000 As
0.500 0.000 0.000 As
0.000 0.000 0.500 Br
0.000 0.000 0.000 Zr
0.500 0.500 0.500 Cd
```

Raw formation energy ... -0.080 eV per atom
Relative energy among the computed polymorphs ... 0.000 eV/atom
Total moment ... 0.000 μB per formula unit
SG ... P4/mmm
Uncorrected energy ... -4.17 eV per atom


17.
Material: LaNb2Fe2
Method: DFT, PBE
State: relaxed

The structure in POSCAR format:
```
LaNb2Fe2
1.0
-6.641 1.676 3.396
1.852 -4.544 5.862
1.319 2.362 1.414
Nb Fe La
4 4 2
Direct
0.145 0.645 0.500 Nb
0.645 0.855 0.500 Nb
0.855 0.355 0.500 Nb
0.355 0.145 0.500 Nb
0.373 0.873 0.000 Fe
0.873 0.627 0.000 Fe
0.627 0.127 0.000 Fe
0.127 0.373 0.000 Fe
0.000 0.000 0.000 La
0.500 0.500 0.000 La
```

DFT formation energy ... 29 kJ per mole of atoms
Relative energy among the computed polymorphs ... 0.281 eV/atom
Total moment ... 0.827 μB per formula unit
SG ... P4/mbm
Uncorrected energy ... -8.09 eV per atom


18.
Material: Sc2BIr5
Method: DFT, PBE
State: relaxed

The structure in POSCAR format:
```
Sc2BIr5
1.0
-1.836 5.324 0.113
-3.632 -4.250 0.690
3.129 -1.994 4.238
Sc B Ir
2 1 5
Direct
0.500 0.249 0.749 Sc
0.500 0.749 0.249 Sc
0.000 0.972 0.972 B
0.481 0.740 0.740 Ir
0.000 0.740 0.259 Ir
0.000 0.259 0.740 Ir
0.519 0.259 0.259 Ir
0.000 0.255 0.255 Ir
```

DFT formation energy ... -62 kJ per mole of atoms
Total moment ... 0.000 μB per formula unit
SG ... I4mm
Uncorrected energy ... -8.60 eV per atom


19.
Material: Li2MnBe
Method: DFT, PBE
State: relaxed

The structure in POSCAR format:
```
Li2MnBe
1.0
-2.510 -1.556 3.596
-3.895 -1.748 1.851
0.131 -4.815 0.426
Be Li Mn
1 2 1
Direct
0.251 0.251 0.357 Be
0.984 0.984 0.914 Li
0.747 0.747 0.839 Li
0.519 0.519 0.390 Mn
```

DFT formation energy ... 30 kJ per mole of atoms
Total moment ... 0.488 μB per formula unit
SG ... Cm
Uncorrected energy ... -3.87 eV per atom


20.
Material: ScFeCl
Method: DFT, PBE
State: relaxed

The structure in POSCAR format:
```
ScFeCl
1.0
-7.544 9.154 0.420
-1.720 -1.539 2.646
4.459 1.577 3.817
Sc Fe Cl
4 4 4
Direct
0.800 0.000 0.738 Sc
0.200 0.000 0.262 Sc
0.800 0.500 0.238 Sc
0.200 0.500 0.762 Sc
0.969 0.000 0.152 Fe
0.031 0.000 0.848 Fe
0.969 0.500 0.652 Fe
0.031 0.500 0.348 Fe
0.341 0.000 0.662 Cl
0.659 0.000 0.338 Cl
0.341 0.500 0.162 Cl
0.659 0.500 0.838 Cl
```

Raw formation energy ... -0.852 eV per atom
Total moment ... 0.000 μB per formula unit
SG ... C2/m
Uncorrected energy ... -6.40 eV per atom